8
Lattice="5.485 0.000 0.000 -0.292 5.487 0.000 -0.292 -0.291 5.485" Properties=species:S:1:pos:R:3 comment="Zr6ZnRh (PBE, optimized geometry)" formation_enthalpy_0k_ev_per_atom=-0.217 dft_energy_ev_per_atom=-7.7066 pbc="T T T"
Zr -0.060 1.386 0.133
Zr 0.918 5.199 2.723
Zr 2.233 2.507 4.091
Zr 2.668 2.689 1.395
Zr 3.983 -0.003 2.762
Zr 4.961 3.810 5.353
Zn 2.742 0.000 0.000
Rh -0.292 2.598 2.743

4
Lattice="3.395 0.000 0.000 0.000 4.275 0.000 -1.688 0.000 5.176" Properties=species:S:1:pos:R:3 comment="Zr2ZnRh (PBE, optimized geometry)" formation_enthalpy_0k_ev_per_atom=-0.495 dft_energy_ev_per_atom=-6.9257 pbc="T T T"
Zr 0.000 0.000 0.000
Zr 0.004 2.138 3.047
Zn 1.699 0.000 2.323
Rh 1.697 2.138 0.625

4
Lattice="3.340 0.000 0.000 0.000 3.393 0.000 0.000 0.000 6.469" Properties=species:S:1:pos:R:3 comment="Zr2ZnRh (PBE, optimized geometry)" formation_enthalpy_0k_ev_per_atom=-0.512 dft_energy_ev_per_atom=-6.9420 pbc="T T T"
Zr 0.000 0.000 1.587
Zr 0.000 0.000 4.882
Zn 1.670 1.696 3.235
Rh 1.670 1.696 0.000

4
Lattice="3.199 0.000 0.000 0.000 3.373 0.000 0.000 0.000 6.152" Properties=species:S:1:pos:R:3 comment="ZrZn2Rh (PBE, optimized geometry)" formation_enthalpy_0k_ev_per_atom=-0.383 dft_energy_ev_per_atom=-4.9945 pbc="T T T"
Zr 0.000 0.000 0.000
Zn 0.000 0.000 2.963
Zn 1.600 1.687 4.290
Rh 1.600 1.687 1.442

6
Lattice="0.000 3.568 3.568 3.568 0.000 3.568 3.568 3.568 0.000" Properties=species:S:1:pos:R:3 comment="ZrZn4Rh (PBE, optimized geometry)" polymorph_energy_mev_per_atom=0 formation_enthalpy_0k_ev_per_atom=-0.313 dft_energy_ev_per_atom=-3.8119 pbc="T T T"
Zr 0.000 0.000 0.000
Zn 4.458 2.678 2.678
Zn 2.678 4.458 2.678
Zn 2.678 2.678 4.458
Zn 4.458 4.458 4.458
Rh 1.784 1.784 1.784

12
Lattice="0.000 4.601 5.134 4.586 0.000 5.134 4.586 4.601 0.000" Properties=species:S:1:pos:R:3 comment="ZrZn4Rh (PBE, optimized geometry)" polymorph_energy_mev_per_atom=227 formation_enthalpy_0k_ev_per_atom=-0.086 dft_energy_ev_per_atom=-3.5852 pbc="T T T"
Zr 2.293 2.301 0.000
Zr 2.293 2.301 5.134
Zn 4.586 1.421 3.623
Zn 6.016 4.601 3.629
Zn 4.586 1.421 6.645
Zn 6.016 4.601 6.638
Zn 3.156 4.601 3.629
Zn 4.586 7.782 3.623
Zn 3.156 4.601 6.638
Zn 4.586 7.782 6.645
Rh 2.293 2.301 2.567
Rh 6.879 6.902 7.700

8
Lattice="-3.750 3.750 2.822 3.750 -3.750 2.822 3.750 3.750 -2.822" Properties=species:S:1:pos:R:3 comment="Zr2ZnRh (PBE, optimized geometry)" formation_enthalpy_0k_ev_per_atom=-0.105 dft_energy_ev_per_atom=-6.5349 pbc="T T T"
Zr 5.625 1.640 -0.706
Zr 1.640 1.875 0.706
Zr -1.875 2.110 2.117
Zr 2.110 1.875 3.528
Zn 3.750 0.000 1.411
Zn 0.000 0.000 2.822
Rh 0.000 0.000 0.000
Rh 0.000 3.750 1.411

4
Lattice="4.234 -1.517 0.000 4.234 1.517 0.000 -0.635 0.000 5.992" Properties=species:S:1:pos:R:3 comment="Zr2ZnRh (PBE, optimized geometry)" formation_enthalpy_0k_ev_per_atom=-0.209 dft_energy_ev_per_atom=-6.6397 pbc="T T T"
Zr 1.874 0.000 1.537
Zr 5.959 0.000 4.454
Zn 4.234 0.000 0.000
Rh -0.318 0.000 2.996

8
Lattice="-1.897 1.897 9.824 1.897 -1.897 9.824 1.897 1.897 -9.824" Properties=species:S:1:pos:R:3 comment="ZrZn2Rh (PBE, optimized geometry)" formation_enthalpy_0k_ev_per_atom=-0.169 dft_energy_ev_per_atom=-4.7813 pbc="T T T"
Zr 0.000 0.000 0.000
Zr 0.000 1.897 4.912
Zn 0.949 -0.863 7.368
Zn 1.034 0.949 2.456
Zn 0.949 2.760 -2.456
Zn 0.863 0.949 12.280
Rh 1.897 0.000 4.912
Rh 0.000 0.000 9.824

9
Lattice="4.408 0.000 0.000 2.201 3.849 0.000 0.029 0.191 8.377" Properties=species:S:1:pos:R:3 comment="Zr2Zn3Rh4 (PBE, optimized geometry)" formation_enthalpy_0k_ev_per_atom=-0.636 dft_energy_ev_per_atom=-6.2273 pbc="T T T"
Zr 1.102 0.648 1.843
Zr 5.536 3.392 6.534
Zn 1.128 0.800 4.753
Zn 3.305 1.924 0.000
Zn 5.511 3.240 3.624
Rh 1.131 0.833 7.490
Rh 3.333 2.108 5.590
Rh 3.305 1.932 2.787
Rh 5.508 3.207 0.887

4
Lattice="1.473 0.851 8.929 -1.473 0.851 8.929 0.000 -1.701 8.929" Properties=species:S:1:pos:R:3 comment="ZrZn2Rh (PBE, optimized geometry)" formation_enthalpy_0k_ev_per_atom=-0.140 dft_energy_ev_per_atom=-4.7522 pbc="T T T"
Zr 0.000 0.000 0.000
Zn 0.000 0.000 6.445
Zn 0.000 0.000 20.342
Rh 0.000 0.000 13.394

8
Lattice="-2.036 2.036 7.120 2.036 -2.036 7.120 2.036 2.036 -7.120" Properties=species:S:1:pos:R:3 comment="ZrZn2Rh5 (PBE, optimized geometry)" formation_enthalpy_0k_ev_per_atom=-0.516 dft_energy_ev_per_atom=-6.4974 pbc="T T T"
Zr 0.000 0.000 0.000
Zn 0.000 0.000 3.560
Zn 0.000 0.000 10.680
Rh 2.036 0.000 1.894
Rh 2.036 0.000 5.226
Rh 0.000 0.000 7.120
Rh 0.000 2.036 1.894
Rh 0.000 2.036 5.226